HoCo3B2 after structural relaxation, computed with GGA-PBE.

Cell: 4.9823 4.9823 3.0198 Å, 90.00 90.00 120.00°
Closest atoms and distances in Å follow each position.
Space group P6/mmm (No. 191)
Asymmetric unit:
Ho1 0.0000 0.0000 0.0000  6 B 2.88, 12 Co 2.91, 2 Ho 3.02
Co1 0.0000 0.5000 0.5000  4 B 2.09
B1 0.3333 0.6667 0.0000  6 Co 2.09

Values from the calculation:
DFT formation energy   -0.505 eV/atom
Energy above the most stable polymorph in this dataset   0 meV/atom
DOS at the Fermi energy   0.596 states/eV/atom

***

HoCo6B2 after structural relaxation, computed with GGA-PBE.

Cell: 9.7895 9.7895 9.7895 Å, 90.00 90.00 90.00°
Closest atoms and distances in Å follow each position.
Space group Fd-3m (No. 227, origin choice 2)
Asymmetric unit:
Ho1 0.1250 0.1250 0.1250  6 Co 2.86
Co1 0.0831 0.3750 0.8750  2 B 1.91
B1 0.0000 0.0000 0.5000  6 Co 1.91

Values from the calculation:
DFT formation energy   0.144 eV/atom
DOS at the Fermi energy   1.292 states/eV/atom

***

Ho4Co3B6 after structural relaxation, computed with GGA-PBE.

Cell: 5.2961 5.2961 21.8409 Å, 90.00 90.00 120.00°
Closest atoms and distances in Å follow each position.
Space group R-3m (No. 166, hexagonal axes)
Asymmetric unit:
Ho1 0.0000 0.0000 0.0889  6 B 2.62
Ho2 0.0000 0.0000 0.2448  6 B 2.62
Co1 0.0000 0.0000 0.3876  6 B 2.13
Co2 0.0000 0.0000 0.5000  2 Co 2.46
B1 0.0000 0.3318 0.0000  3 B 1.76-1.78

Values from the calculation:
DFT formation energy   -0.401 eV/atom
DOS at the Fermi energy   0.320 states/eV/atom

***

HoCo6B after structural relaxation, computed with GGA-PBE.

Cell: 3.6167 3.6167 7.6359 Å, 90.00 90.00 90.00°
Closest atoms and distances in Å follow each position.
Space group P4/mmm (No. 123)
Asymmetric unit:
Ho1 0.0000 0.0000 0.0000  8 Co 2.81
Co1 0.0000 0.5000 0.3468  2 B 2.15, 3 Co 2.34
Co2 0.5000 0.5000 0.1525  5 Co 2.33-2.34
B1 0.0000 0.0000 0.5000  8 Co 2.15

Values from the calculation:
DFT formation energy   0.003 eV/atom
DOS at the Fermi energy   1.027 states/eV/atom

***

HoCo4B after structural relaxation, computed with GGA-PBE.

Cell: 4.9838 4.9838 6.8366 Å, 90.00 90.00 120.00°
Closest atoms and distances in Å follow each position.
Space group P6/mmm (No. 191)
Asymmetric unit:
Ho1 0.0000 0.0000 0.0000  6 B 2.88, 12 Co 2.88
Ho2 0.0000 0.0000 0.5000  18 Co 2.88-3.17
Co1 0.0000 0.5000 0.2124  2 B 2.04
Co2 0.3333 0.6667 0.5000  6 Co 2.44
B1 0.3333 0.6667 0.0000  6 Co 2.04

Values from the calculation:
DFT formation energy   -0.312 eV/atom
DOS at the Fermi energy   1.214 states/eV/atom

***

Ho3Co2B9 after structural relaxation, computed with GGA-PBE.

Cell: 3.1395 7.4105 13.3257 Å, 90.00 90.00 90.00°
Closest atoms and distances in Å follow each position.
Space group Immm (No. 71)
Asymmetric unit:
Ho1 0.0000 0.0000 0.0000  12 B 2.58-2.72
Ho2 0.0000 0.0000 0.2645  12 B 2.70-2.78
Co1 0.0000 0.1653 0.5000  4 B 1.99-2.03
B1 0.0000 0.2695 0.1221  2 B 1.68
B2 0.0000 0.3097 0.3707  2 B 1.68
B3 0.0000 0.5000 0.0000  4 Co 1.99

Values from the calculation:
DFT formation energy   -0.278 eV/atom
DOS at the Fermi energy   0.523 states/eV/atom

***

no.,theoretical density (kg/m³)
1,9294
2,7648
3,8464
4,8800
5,9293
6,7605